1.
Material: HfMgNiPd
Method: DFT, PBE
State: relaxed

Lattice parameters (Å, degrees): 4.5149 4.5149 4.5149 60.00 60.00 60.00
With the nearest neighbours (Å) after each atom.
Element x y z (fractional)
Hf 0.0000 0.0000 0.0000  4 Ni 2.76, 4 Pd 2.76
Mg 0.5000 0.5000 0.5000  4 Ni 2.76, 4 Pd 2.76
Ni 0.7500 0.7500 0.7500  4 Mg 2.76, 4 Hf 2.76
Pd 0.2500 0.2500 0.2500  4 Mg 2.76, 4 Hf 2.76

Values from the calculation:
SG	F-43m
total moment	0.000	μB/f.u.
calculated volume	65.1	Å³/cell
energy relative to the elements	-0.52	eV/atom

2.
Material: HfMgNiRu
Method: DFT, PBE
State: relaxed

Lattice parameters (Å, degrees): 4.4510 4.4510 4.4510 60.00 60.00 60.00
With the nearest neighbours (Å) after each atom.
Element x y z (fractional)
Hf 0.0000 0.0000 0.0000  4 Ni 2.73, 4 Ru 2.73
Mg 0.5000 0.5000 0.5000  4 Ru 2.73, 4 Ni 2.73
Ni 0.7500 0.7500 0.7500  4 Hf 2.73, 4 Mg 2.73
Ru 0.2500 0.2500 0.2500  4 Hf 2.73, 4 Mg 2.73

Values from the calculation:
SG	F-43m
total moment	0.000	μB/f.u.
calculated volume	62.4	Å³/cell
energy relative to the elements	-0.41	eV/atom